Density functional theory data (GGA-PBE) for a relaxed structure of YTaTl2Tc.

Results
calculated volume: 27.6 A^3/atom
uncorrected energy: -5.87 eV/atom
SG: P4/mmm (123)
D(E_F): 4.101 states/eV/f.u.

Lattice parameters (Å, degrees): 5.4315 5.4315 4.6805 90.00 90.00 90.00
Closest atoms and distances in Å follow each position.
Atoms (fractional coordinates):
1 Y 0.0000 0.0000 0.0000  8 Tl 3.58, 4 Tc 3.84
2 Ta 0.5000 0.5000 0.5000  2 Tc 2.34
3 Tl 0.0000 0.5000 0.5000  2 Ta 2.72
4 Tl 0.5000 0.0000 0.5000  2 Ta 2.72
5 Tc 0.5000 0.5000 0.0000  2 Ta 2.34

Density functional theory data (GGA-PBE) for a relaxed structure of Nd2Tm3Hg2.

Results
calculated volume: 29.9 A^3/atom
uncorrected energy: -3.57 eV/atom
SG: C2/m (12)
D(E_F): 9.578 states/eV/f.u.

Lattice parameters (Å, degrees): 11.8405 4.7601 8.2260 90.00 115.42 90.00
Closest atoms and distances in Å follow each position.
Atoms (fractional coordinates):
1 Nd 0.1340 0.0000 0.2854  4 Hg 3.33-3.45, 4 Tm 3.60-3.70
2 Nd 0.3660 0.5000 0.7146  4 Hg 3.33-3.45, 4 Tm 3.60-3.70
3 Nd 0.6340 0.5000 0.2854  4 Hg 3.33-3.45, 4 Tm 3.60-3.70
4 Nd 0.8660 0.0000 0.7146  4 Hg 3.33-3.45, 4 Tm 3.60-3.70
5 Tm 0.0000 0.5000 0.5000  4 Hg 3.01, 2 Tm 3.37
6 Tm 0.1286 0.5000 0.9537  3 Hg 2.92-3.25
7 Tm 0.3714 0.0000 0.0463  3 Hg 2.92-3.25
8 Tm 0.5000 0.0000 0.5000  4 Hg 3.01, 2 Tm 3.37
9 Tm 0.6286 0.0000 0.9537  3 Hg 2.92-3.25
10 Tm 0.8714 0.5000 0.0463  3 Hg 2.92-3.25
11 Hg 0.1516 0.0000 0.7008  5 Tm 2.92-3.25
12 Hg 0.3484 0.5000 0.2992  5 Tm 2.92-3.25
13 Hg 0.6516 0.5000 0.7008  5 Tm 2.92-3.25
14 Hg 0.8484 0.0000 0.2992  5 Tm 2.92-3.25

Density functional theory data (GGA-PBE) for a relaxed structure of Er4Sb3P.

Results
calculated volume: 27.3 A^3/atom
ΔE_f (raw): -1178 meV/atom
uncorrected energy: -5.68 eV/atom
SG: Cmmm (65)
D(E_F): 1.089 states/eV/f.u.

Lattice parameters (Å, degrees): 8.5643 12.0473 4.2371 90.00 90.00 90.00
Closest atoms and distances in Å follow each position.
Atoms (fractional coordinates):
1 Er 0.0000 0.2405 0.0000  1 P 2.90, 5 Sb 3.01-3.13
2 Er 0.0000 0.7595 0.0000  1 P 2.90, 5 Sb 3.01-3.13
3 Er 0.2328 0.0000 0.5000  2 P 2.91, 4 Sb 3.02-3.12
4 Er 0.2672 0.5000 0.5000  2 P 2.91, 4 Sb 3.02-3.12
5 Er 0.5000 0.2595 0.0000  1 P 2.90, 5 Sb 3.01-3.13
6 Er 0.5000 0.7405 0.0000  1 P 2.90, 5 Sb 3.01-3.13
7 Er 0.7328 0.5000 0.5000  2 P 2.91, 4 Sb 3.02-3.12
8 Er 0.7672 0.0000 0.5000  2 P 2.91, 4 Sb 3.02-3.12
9 Sb 0.0000 0.5000 0.0000  6 Er 3.12-3.13
10 Sb 0.2500 0.2500 0.5000  6 Er 3.01-3.02
11 Sb 0.2500 0.7500 0.5000  6 Er 3.01-3.02
12 Sb 0.5000 0.0000 0.0000  6 Er 3.12-3.13
13 Sb 0.7500 0.2500 0.5000  6 Er 3.01-3.02
14 Sb 0.7500 0.7500 0.5000  6 Er 3.01-3.02
15 P 0.0000 0.0000 0.0000  6 Er 2.90-2.91
16 P 0.5000 0.5000 0.0000  6 Er 2.90-2.91

Density functional theory data (GGA-PBE) for a relaxed structure of CaMnB3.

Results
calculated volume: 18.5 A^3/atom
uncorrected energy: -3.53 eV/atom
SG: Pm-3m (221)
energy above the lowest structure with this stoichiometry: 2578 meV/atom
D(E_F): 5.280 states/eV/f.u.

Lattice parameters (Å, degrees): 4.5221 4.5221 4.5221 90.00 90.00 90.00
Closest atoms and distances in Å follow each position.
Atoms (fractional coordinates):
1 Ca 0.0000 0.0000 0.0000  6 B 2.26
2 Mn 0.5000 0.5000 0.5000  12 B 3.20
3 B 0.0000 0.0000 0.5000  2 Ca 2.26
4 B 0.0000 0.5000 0.0000  2 Ca 2.26
5 B 0.5000 0.0000 0.0000  2 Ca 2.26

Density functional theory data (GGA-PBE) for a relaxed structure of Nd3ScSe6.

Results
calculated volume: 30.4 A^3/atom
ΔE_f (raw): -1819 meV/atom
uncorrected energy: -5.97 eV/atom
SG: R-3 (148)
energy above the lowest structure with this stoichiometry: 0 meV/atom
D(E_F): 0.000 states/eV/f.u.

Lattice parameters (Å, degrees): 8.4765 8.4765 8.4765 91.32 91.32 91.32
Closest atoms and distances in Å follow each position.
Atoms (fractional coordinates):
1 Nd 0.0728 0.7487 0.5800  6 Se 2.93-3.01
2 Nd 0.2513 0.4200 0.9272  6 Se 2.93-3.01
3 Nd 0.4200 0.9272 0.2513  6 Se 2.93-3.01
4 Nd 0.5800 0.0728 0.7487  6 Se 2.93-3.01
5 Nd 0.7487 0.5800 0.0728  6 Se 2.93-3.01
6 Nd 0.9272 0.2513 0.4200  6 Se 2.93-3.01
7 Sc 0.0000 0.0000 0.0000  6 Se 2.70
8 Sc 0.5000 0.5000 0.5000  6 Se 2.74
9 Se 0.0443 0.6947 0.9180  1 Sc 2.70, 3 Nd 2.93-3.01
10 Se 0.0820 0.9557 0.3053  1 Sc 2.70, 3 Nd 2.93-3.01
11 Se 0.1975 0.4186 0.5785  1 Sc 2.74, 3 Nd 2.95-3.01
12 Se 0.3053 0.0820 0.9557  1 Sc 2.70, 3 Nd 2.93-3.01
13 Se 0.4186 0.5785 0.1975  1 Sc 2.74, 3 Nd 2.95-3.01
14 Se 0.4215 0.8025 0.5814  1 Sc 2.74, 3 Nd 2.95-3.01
15 Se 0.5785 0.1975 0.4186  1 Sc 2.74, 3 Nd 2.95-3.01
16 Se 0.5814 0.4215 0.8025  1 Sc 2.74, 3 Nd 2.95-3.01
17 Se 0.6947 0.9180 0.0443  1 Sc 2.70, 3 Nd 2.93-3.01
18 Se 0.8025 0.5814 0.4215  1 Sc 2.74, 3 Nd 2.95-3.01
19 Se 0.9180 0.0443 0.6947  1 Sc 2.70, 3 Nd 2.93-3.01
20 Se 0.9557 0.3053 0.0820  1 Sc 2.70, 3 Nd 2.93-3.01

Density functional theory data (GGA-PBE) for a relaxed structure of Cs2FeNiSe4.

Results
calculated volume: 32.6 A^3/atom
ΔE_f (raw): -689 meV/atom
uncorrected energy: -4.43 eV/atom
SG: Fddd (70)
D(E_F): 1.622 states/eV/f.u.

Lattice parameters (Å, degrees): 14.5306 12.8853 7.8303 85.39 62.12 32.49
Closest atoms and distances in Å follow each position.
Atoms (fractional coordinates):
1 Cs 0.0548 0.0548 0.6952  8 Se 3.71-3.87
2 Cs 0.3048 0.3048 0.9452  8 Se 3.71-3.87
3 Cs 0.6952 0.6952 0.0548  8 Se 3.71-3.87
4 Cs 0.9452 0.9452 0.3048  8 Se 3.71-3.87
5 Fe 0.1250 0.1250 0.1250  4 Se 2.32
6 Fe 0.8750 0.8750 0.8750  4 Se 2.32
7 Ni 0.3750 0.3750 0.3750  4 Se 2.33
8 Ni 0.6250 0.6250 0.6250  4 Se 2.33
9 Se 0.0175 0.3369 0.4098  1 Fe 2.32, 1 Ni 2.33
10 Se 0.2642 0.5902 0.6631  1 Fe 2.32, 1 Ni 2.33
11 Se 0.3369 0.0175 0.7358  1 Fe 2.32, 1 Ni 2.33
12 Se 0.4098 0.7358 0.0175  1 Fe 2.32, 1 Ni 2.33
13 Se 0.5902 0.2642 0.9825  1 Fe 2.32, 1 Ni 2.33
14 Se 0.6631 0.9825 0.2642  1 Fe 2.32, 1 Ni 2.33
15 Se 0.7358 0.4098 0.3369  1 Fe 2.32, 1 Ni 2.33
16 Se 0.9825 0.6631 0.5902  1 Fe 2.32, 1 Ni 2.33